# 1
Compound: YTe2As
Source: Alexandria
Functional: GGA-PBE
Structure: relaxed

POSCAR file:
```
YTe2As
1.0
-2.187 2.187 5.453
2.187 -2.187 5.453
2.187 2.187 -5.453
Y Te As
1 2 1
Direct
0.000 0.000 0.000 Y
0.500 0.500 0.000 Te
0.750 0.250 0.500 Te
0.250 0.750 0.500 As
```

raw formation energy = -0.53 eV/atom
space group = I-4m2

---

# 2
Compound: Y4Te3As
Source: Alexandria
Functional: GGA-PBE
Structure: relaxed

POSCAR file:
```
Y4Te3As
1.0
4.358 -6.107 0.000
4.358 6.107 0.000
0.000 0.000 4.267
Y Te As
4 3 1
Direct
0.222 0.222 0.500 Y
0.232 0.768 0.000 Y
0.768 0.232 0.000 Y
0.778 0.778 0.500 Y
0.000 0.500 0.500 Te
0.500 0.000 0.500 Te
0.500 0.500 0.000 Te
0.000 0.000 0.000 As
```

raw formation energy = -1.42 eV/atom
space group = Cmmm

---

# 3
Compound: YTe2As
Source: Alexandria
Functional: GGA-PBE
Structure: relaxed

POSCAR file:
```
YTe2As
1.0
-1.981 2.028 7.984
1.981 -2.028 7.984
1.981 2.028 -7.984
Y Te As
1 2 1
Direct
0.000 0.000 0.000 Y
0.422 0.422 0.000 Te
0.673 0.173 0.500 Te
0.144 0.644 0.500 As
```

raw formation energy = -0.77 eV/atom
space group = Imm2

---

Calculated electronic total energy in order - -4.884 -6.412 -5.124 eV per atom
Calculated N(E_F) in order - 1.83 3.41 1.43 states/eV per cell